The following is a PBE-GGA calculation of a relaxed structure of ThCdGe2Pt2, from Alexandria.

Lattice parameters (Å, degrees): 4.354 4.354 7.293 90.00 90.00 120.00
Element x y z (fractional)
1 Th 0.000 0.000 0.000
2 Cd 0.000 0.000 0.500
3 Ge 0.667 0.333 0.256
4 Ge 0.333 0.667 0.744
5 Pt 0.667 0.333 0.707
6 Pt 0.333 0.667 0.293

Magnetic moment ... 0.0 Bohr magnetons per cell
Calculated formation energy ... -0.671 eV per atom



The following is a PBE-GGA calculation of a relaxed structure of DyTcPH2, from Alexandria.

Lattice parameters (Å, degrees): 3.749 5.386 6.089 90.00 90.00 110.37
Element x y z (fractional)
1 Dy 0.712 0.423 0.750
2 Dy 0.288 0.577 0.250
3 Tc 0.000 0.000 0.000
4 Tc 0.000 0.000 0.500
5 P 0.429 0.858 0.750
6 P 0.571 0.142 0.250
7 H 0.172 0.345 0.940
8 H 0.828 0.655 0.060
9 H 0.172 0.345 0.560
10 H 0.828 0.655 0.440

Magnetic moment ... 0.0 Bohr magnetons per cell



E list, top to bottom, in eV/cell: -33.67, -61.18
Density of states at the Fermi level list, top to bottom, in states/eV per cell: 3.17, 3.27
V list, top to bottom, in Å³/atom: 19.95, 11.53